# La2PrSm5Ho (PBE, relaxed)
data_La2PrSm5Ho
_cell_length_a 8.7908
_cell_length_b 8.7908
_cell_length_c 10.1946
_cell_angle_alpha 115.54
_cell_angle_beta 115.54
_cell_angle_gamma 90.00
_symmetry_space_group_name_H-M 'P 1'
_symmetry_Int_Tables_number 1
loop_
_symmetry_equiv_pos_as_xyz
'x,y,z'
loop_
_atom_site_label
_atom_site_type_symbol
_atom_site_fract_x
_atom_site_fract_y
_atom_site_fract_z
La1 La 0.1184 0.3816 0.0000
La2 La 0.6184 0.1184 0.0000
La3 La 0.3816 0.8816 0.0000
La4 La 0.8816 0.6184 0.0000
Pr1 Pr 0.2500 0.2500 0.5000
Pr2 Pr 0.7500 0.7500 0.5000
Sm1 Sm 0.9249 0.4249 0.2827
Sm2 Sm 0.6422 0.1422 0.7173
Sm3 Sm 0.0751 0.5751 0.7173
Sm4 Sm 0.1422 0.0751 0.7173
Sm5 Sm 0.5751 0.6422 0.7173
Sm6 Sm 0.8578 0.9249 0.2827
Sm7 Sm 0.4249 0.3578 0.2827
Sm8 Sm 0.3578 0.8578 0.2827
Sm9 Sm 0.5000 0.5000 0.0000
Sm10 Sm 0.0000 0.0000 0.0000
Ho1 Ho 0.2500 0.7500 0.5000
Ho2 Ho 0.7500 0.2500 0.5000
# * calculated formation energy: 0.25 eV/atom
# * uncorrected energy: -4.507 eV/atom

=====

# La2PrSm4Ho (PBE, relaxed)
data_La2PrSm4Ho
_cell_length_a 5.1845
_cell_length_b 5.1661
_cell_length_c 11.5754
_cell_angle_alpha 63.37
_cell_angle_beta 90.00
_cell_angle_gamma 90.00
_symmetry_space_group_name_H-M 'P 1'
_symmetry_Int_Tables_number 1
loop_
_symmetry_equiv_pos_as_xyz
'x,y,z'
loop_
_atom_site_label
_atom_site_type_symbol
_atom_site_fract_x
_atom_site_fract_y
_atom_site_fract_z
La1 La 0.0000 0.0000 0.0000
La2 La 0.5000 0.0000 0.5000
Pr1 Pr 0.5000 0.5000 0.0000
Sm1 Sm 0.0000 0.7533 0.7471
Sm2 Sm 0.0000 0.2467 0.2529
Sm3 Sm 0.5000 0.7475 0.2525
Sm4 Sm 0.5000 0.2525 0.7475
Ho1 Ho 0.0000 0.5000 0.5000
# * calculated formation energy: 0.02 eV/atom
# * uncorrected energy: -4.738 eV/atom

=====

# La3PrSm2Ho6 (PBE, relaxed)
data_La3PrSm2Ho6
_cell_length_a 6.2806
_cell_length_b 6.2806
_cell_length_c 11.8431
_cell_angle_alpha 95.06
_cell_angle_beta 95.06
_cell_angle_gamma 120.00
_symmetry_space_group_name_H-M 'P 1'
_symmetry_Int_Tables_number 1
loop_
_symmetry_equiv_pos_as_xyz
'x,y,z'
loop_
_atom_site_label
_atom_site_type_symbol
_atom_site_fract_x
_atom_site_fract_y
_atom_site_fract_z
La1 La 0.1667 0.8333 0.5000
La2 La 0.8333 0.1667 0.5000
La3 La 0.5000 0.5000 0.5000
Pr1 Pr 0.0000 0.0000 0.0000
Sm1 Sm 0.3332 0.6667 0.0000
Sm2 Sm 0.6667 0.3332 0.0000
Ho1 Ho 0.9177 0.5839 0.7526
Ho2 Ho 0.7485 0.7485 0.2474
Ho3 Ho 0.0823 0.4161 0.2474
Ho4 Ho 0.5839 0.9177 0.7526
Ho5 Ho 0.2515 0.2515 0.7526
Ho6 Ho 0.4161 0.0823 0.2474
# * calculated formation energy: 0.01 eV/atom
# * uncorrected energy: -4.691 eV/atom

=====

# La2Pr3Sm6Ho (PBE, relaxed)
data_La2Pr3Sm6Ho
_cell_length_a 6.3484
_cell_length_b 6.3484
_cell_length_c 12.1340
_cell_angle_alpha 95.02
_cell_angle_beta 95.02
_cell_angle_gamma 119.99
_symmetry_space_group_name_H-M 'P 1'
_symmetry_Int_Tables_number 1
loop_
_symmetry_equiv_pos_as_xyz
'x,y,z'
loop_
_atom_site_label
_atom_site_type_symbol
_atom_site_fract_x
_atom_site_fract_y
_atom_site_fract_z
La1 La 0.3334 0.6666 0.0000
La2 La 0.6666 0.3334 0.0000
Pr1 Pr 0.1666 0.8334 0.5000
Pr2 Pr 0.8334 0.1666 0.5000
Pr3 Pr 0.5000 0.5000 0.5000
Sm1 Sm 0.9171 0.5853 0.7506
Sm2 Sm 0.7510 0.7510 0.2496
Sm3 Sm 0.0829 0.4147 0.2494
Sm4 Sm 0.5853 0.9171 0.7506
Sm5 Sm 0.2490 0.2490 0.7504
Sm6 Sm 0.4147 0.0829 0.2494
Ho1 Ho 0.0000 0.0000 0.0000
# * calculated formation energy: 0.02 eV/atom
# * uncorrected energy: -4.741 eV/atom

=====

# LaPrSm2Ho4 (PBE, relaxed)
data_LaPrSm2Ho4
_cell_length_a 7.2624
_cell_length_b 12.3955
_cell_length_c 12.4078
_cell_angle_alpha 131.09
_cell_angle_beta 125.82
_cell_angle_gamma 90.07
_symmetry_space_group_name_H-M 'P 1'
_symmetry_Int_Tables_number 1
loop_
_symmetry_equiv_pos_as_xyz
'x,y,z'
loop_
_atom_site_label
_atom_site_type_symbol
_atom_site_fract_x
_atom_site_fract_y
_atom_site_fract_z
La1 La 0.5003 0.5001 0.5001
La2 La 0.0001 0.0000 0.0002
Pr1 Pr 0.9997 0.4998 0.9998
Pr2 Pr 0.0000 0.5000 0.4998
Sm1 Sm 0.4998 0.9999 0.9999
Sm2 Sm 0.4999 0.9999 0.4998
Sm3 Sm 0.0003 0.0001 0.5001
Sm4 Sm 0.5000 0.5000 0.0002
Ho1 Ho 0.2558 0.7512 0.0036
Ho2 Ho 0.7532 0.2489 0.5012
Ho3 Ho 0.2471 0.7513 0.4990
Ho4 Ho 0.7444 0.2486 0.9963
Ho5 Ho 0.7514 0.7511 0.0035
Ho6 Ho 0.7510 0.7514 0.4991
Ho7 Ho 0.2488 0.2488 0.5011
Ho8 Ho 0.2483 0.2486 0.9963
# * calculated formation energy: 0.02 eV/atom
# * uncorrected energy: -4.661 eV/atom

=====

# La2PrSmHo2 (PBE, relaxed)
data_La2PrSmHo2
_cell_length_a 5.6884
_cell_length_b 6.9920
_cell_length_c 10.4154
_cell_angle_alpha 90.00
_cell_angle_beta 90.00
_cell_angle_gamma 90.00
_symmetry_space_group_name_H-M 'P 1'
_symmetry_Int_Tables_number 1
loop_
_symmetry_equiv_pos_as_xyz
'x,y,z'
loop_
_atom_site_label
_atom_site_type_symbol
_atom_site_fract_x
_atom_site_fract_y
_atom_site_fract_z
La1 La 0.5000 0.0575 0.0240
La2 La 0.0000 0.3248 0.1982
La3 La 0.5000 0.5575 0.9760
La4 La 0.0000 0.8248 0.8018
Pr1 Pr 0.5000 0.1933 0.6919
Pr2 Pr 0.5000 0.6933 0.3081
Sm1 Sm 0.0000 0.9538 0.4738
Sm2 Sm 0.0000 0.4538 0.5262
Ho1 Ho 0.0000 0.3140 0.8683
Ho2 Ho 0.5000 0.2022 0.3723
Ho3 Ho 0.0000 0.8140 0.1317
Ho4 Ho 0.5000 0.7022 0.6277
# * calculated formation energy: 0.07 eV/atom
# * uncorrected energy: -4.682 eV/atom